The following is a DFT calculation (GGA-PBE) of crystalline KRbLi2Br4 at its relaxed geometry.

Geometry as POSCAR:
```
KRbLi2Br4
1.0
5.3567 0.0000 0.0000
0.0000 5.3567 0.0000
0.0000 0.0000 9.0144
K Rb Li Br
1 1 2 4
direct
0.0000 0.0000 0.0000
0.0000 0.0000 0.5000
0.5000 0.5000 0.2402
0.5000 0.5000 0.7598
0.0000 0.5000 0.2412
0.0000 0.5000 0.7588
0.5000 0.0000 0.2412
0.5000 0.0000 0.7588
```

Computed properties:
Uncorrected energy = -3.134 eV per atom
Formation energy from raw total energies = -1.561 eV/atom
Space-group type = P4/mmm
V = 259 Å³/cell
Crystal system = tetragonal

---

The following is a DFT calculation (GGA-PBE) of crystalline CdPd2Pb2 at its relaxed geometry.

Geometry as POSCAR:
```
CdPd2Pb2
1.0
5.4588 0.0000 0.0000
0.0000 4.4626 0.0000
-0.8339 0.0000 9.5977
Cd Pd Pb
2 4 4
direct
0.0843 0.2500 0.2826
0.9157 0.7500 0.7174
0.1481 0.7500 0.4602
0.2681 0.7500 0.1541
0.7319 0.2500 0.8459
0.8519 0.2500 0.5398
0.2442 0.2500 0.9621
0.3686 0.2500 0.6192
0.6314 0.7500 0.3808
0.7558 0.7500 0.0379
```

Computed properties:
E_form = -214 meV per atom
Excess energy over the best structure of this formula in the dataset = 0 meV/atom
Uncorrected energy = -3.958 eV per atom
Space-group type = P2_1/m
V = 234 Å³/cell
Crystal system = monoclinic

---

The following is a DFT calculation (GGA-PBE) of crystalline ZrCu2Hg2 at its relaxed geometry.

Geometry as POSCAR:
```
ZrCu2Hg2
1.0
3.3871 0.0000 0.0000
0.0000 3.3871 0.0000
0.0000 0.0000 16.6847
Zr Cu Hg
2 4 4
direct
0.0000 0.0000 0.0000
0.5000 0.5000 0.5000
0.0000 0.5000 0.2500
0.0000 0.5000 0.7500
0.5000 0.0000 0.2500
0.5000 0.0000 0.7500
0.0000 0.0000 0.3825
0.0000 0.0000 0.6175
0.5000 0.5000 0.1175
0.5000 0.5000 0.8825
```

Computed properties:
E_form = 141 meV per atom
Excess energy over the best structure of this formula in the dataset = 55 meV/atom
Uncorrected energy = -3.328 eV per atom
Space-group type = I4/mmm
V = 191 Å³/cell
Crystal system = tetragonal

---

The following is a DFT calculation (GGA-PBE) of crystalline Y2AsIr at its relaxed geometry.

Geometry as POSCAR:
```
Y2AsIr
1.0
6.8577 0.0000 0.0000
0.0000 6.9902 0.0000
0.0000 0.0000 3.5991
Y As Ir
4 2 2
direct
0.2500 0.2500 0.0000
0.2500 0.7500 0.0000
0.7500 0.2500 0.0000
0.7500 0.7500 0.0000
0.0000 0.0000 0.5000
0.5000 0.5000 0.5000
0.0000 0.5000 0.5000
0.5000 0.0000 0.5000
```

Computed properties:
E_form = -877 meV per atom
Uncorrected energy = -7.487 eV per atom
Space-group type = Cmmm
V = 173 Å³/cell
Crystal system = orthorhombic

---

The following is a DFT calculation (GGA-PBE) of crystalline Cu5Se7 at its relaxed geometry.

Geometry as POSCAR:
```
Cu5Se7
1.0
-3.9618 3.9618 4.9023
3.9618 -3.9618 4.9023
3.9618 3.9618 -4.9023
Cu Se
5 7
direct
0.0000 0.0000 0.0000
0.1369 0.1369 0.6005
0.1369 0.5365 0.0000
0.5365 0.1369 0.0000
0.5365 0.5365 0.3995
0.0881 0.5881 0.5000
0.2010 0.9083 0.2927
0.2546 0.2546 0.0000
0.5881 0.0881 0.5000
0.6156 0.9083 0.7073
0.9083 0.2010 0.2927
0.9083 0.6156 0.7073
```

Computed properties:
Uncorrected energy = -3.620 eV per atom
Formation energy from raw total energies = 0.120 eV/atom
Space-group type = I4mm
V = 308 Å³/cell
Crystal system = tetragonal

---

The following is a DFT calculation (GGA-PBE) of crystalline Ce2AgRu at its relaxed geometry.

Geometry as POSCAR:
```
Ce2AgRu
1.0
5.8579 0.0000 0.0000
0.0000 8.9102 0.0000
0.0000 0.0000 7.3804
Ce Ag Ru
8 4 4
direct
0.2500 0.1474 0.0000
0.2500 0.3526 0.5000
0.2500 0.7163 0.2148
0.2500 0.7837 0.7148
0.7500 0.2163 0.7148
0.7500 0.2837 0.2148
0.7500 0.6474 0.5000
0.7500 0.8526 0.0000
0.0000 0.0000 0.3731
0.0000 0.5000 0.8731
0.5000 0.0000 0.3731
0.5000 0.5000 0.8731
0.2500 0.0874 0.6886
0.2500 0.4126 0.1886
0.7500 0.5874 0.1886
0.7500 0.9126 0.6886
```

Computed properties:
E_form = -116 meV per atom
Uncorrected energy = -6.115 eV per atom
Space-group type = Ima2
V = 385 Å³/cell
Crystal system = orthorhombic

---

Please write out number 2 again, unchanged.
The following is a DFT calculation (GGA-PBE) of crystalline CdPd2Pb2 at its relaxed geometry.

Geometry as POSCAR:
```
CdPd2Pb2
1.0
5.4588 0.0000 0.0000
0.0000 4.4626 0.0000
-0.8339 0.0000 9.5977
Cd Pd Pb
2 4 4
direct
0.0843 0.2500 0.2826
0.9157 0.7500 0.7174
0.1481 0.7500 0.4602
0.2681 0.7500 0.1541
0.7319 0.2500 0.8459
0.8519 0.2500 0.5398
0.2442 0.2500 0.9621
0.3686 0.2500 0.6192
0.6314 0.7500 0.3808
0.7558 0.7500 0.0379
```

Computed properties:
E_form = -214 meV per atom
Excess energy over the best structure of this formula in the dataset = 0 meV/atom
Uncorrected energy = -3.958 eV per atom
Space-group type = P2_1/m
V = 234 Å³/cell
Crystal system = monoclinic